[1]
A geometry-optimized K4BeOs structure. Source: Alexandria, functional PBE.

Its calculated total energy is -9.66 eV per formula unit.

The space group is F-43m (No. 216) and the conventional cell measures 9.566, 9.566 and 9.566 Å, with angles of 90.00, 90.00 and 90.00 degrees. Symmetry generates all atoms from K at (0.124, 0.124, 0.124), Be at (0.000, 0.000, 0.500) and Os at (0.250, 0.250, 0.750).

---

[2]
A geometry-optimized Al2Te5 structure. Source: Alexandria, functional PBE.

For the uncorrected formation energy, the calculation gives -0.328 eV per atom.

The space group is C2/m (No. 12) and the conventional cell measures 14.977, 4.200 and 10.512 Å, with angles of 90.00, 129.15 and 90.00 degrees. Symmetry generates all atoms from Al at (0.134, 0.000, 0.400), Te at (0.000, 0.500, 0.000), Te at (0.075, 0.000, 0.875) and Te at (0.187, 0.500, 0.601).

---

[3]
A geometry-optimized NaAgO3 structure. Source: Alexandria, functional PBE.

For the uncorrected formation energy, the calculation gives 0.883 eV per atom.

The space group is Pm-3m (No. 221) and the conventional cell measures 4.040, 4.040 and 4.040 Å, with angles of 90.00, 90.00 and 90.00 degrees. Symmetry generates all atoms from Na at (0.000, 0.000, 0.000), Ag at (0.500, 0.500, 0.500) and O at (0.000, 0.000, 0.500).

---

[4]
A geometry-optimized YSc3C structure. Source: Alexandria, functional PBE.

Its energy relative to the lowest polymorph listed for this composition is 54.57 kcal/mol of atoms.

The space group is Pm-3m (No. 221) and the conventional cell measures 5.113, 5.113 and 5.113 Å, with angles of 90.00, 90.00 and 90.00 degrees. Symmetry generates all atoms from Y at (0.000, 0.000, 0.000), Sc at (0.000, 0.000, 0.500) and C at (0.500, 0.500, 0.500).

---

Number 1: V 36.5 Å³/atom. Number 2: V 36.6 Å³/atom. Number 3: V 13.2 Å³/atom. Number 4: V 26.7 Å³/atom.